BaNaTmIn | GGA-PBE | optimized geometry

Geometry as POSCAR:
```
BaNaTmIn
1.0
-1.6387 -1.8879 5.1863
-2.3705 -5.2181 0.5472
2.9261 -4.2350 2.5786
Na Tm Ba In
1 1 1 1
direct
0.0000 0.0000 0.0000 Na
0.7500 0.7500 0.7500 Tm
0.2500 0.2500 0.2500 Ba
0.5000 0.5000 0.5000 In
```

## Properties
Calculated volume = 134.9 Å³/cell
Formation energy from the elements = -0.0359 eV per atom
SG = F-43m (216)